[1]
First-principles (PBE-GGA) data for a geometry-optimized KGa2TeOs structure, as listed in Alexandria via LeMat-Bulk.

a = 5.6200 Å, b = 5.6200 Å, c = 5.2986 Å
α = 90.00°, β = 90.00°, γ = 90.00°
With the nearest neighbours (Å) after each atom.
Space group P4/mmm (No. 123)
Unique sites:
K  0.0000  0.0000  0.0000 (multiplicity 1)  2 Os 2.65, 4 Ga 2.81
Ga  0.0000  0.5000  0.0000 (multiplicity 2)  2 K 2.81
Te  0.5000  0.5000  0.5000 (multiplicity 1)  8 Ga 3.86, 4 Os 3.97
Os  0.0000  0.0000  0.5000 (multiplicity 1)  2 K 2.65

Properties
As for the crystal system: tetragonal. The calculation puts the electronic total energy at -2.430 eV/atom. The value obtained for the energy above the most stable polymorph in this dataset is 923 meV per atom. The magnetic moment comes out at 0.5557 μB per atom. Its formation energy without anion corrections is 904 kJ/mol of formula units.

---

[2]
First-principles (PBE-GGA) data for a geometry-optimized KTlGa2Os structure, as listed in Alexandria via LeMat-Bulk.

a = 4.9186 Å, b = 4.9186 Å, c = 5.3204 Å
α = 90.00°, β = 90.00°, γ = 90.00°
With the nearest neighbours (Å) after each atom.
Space group P4/mmm (No. 123)
Unique sites:
K  0.0000  0.0000  0.0000 (multiplicity 1)  4 Tl 3.48, 8 Ga 3.62
Tl  0.5000  0.5000  0.0000 (multiplicity 1)  2 Os 2.66
Ga  0.0000  0.5000  0.5000 (multiplicity 2)  2 Os 2.46
Os  0.5000  0.5000  0.5000 (multiplicity 1)  4 Ga 2.46, 2 Tl 2.66

Properties
As for the crystal system: tetragonal. The calculation puts the electronic total energy at -4.218 eV/atom. For the formation energy from the elements, the calculation gives -68 meV per atom. The magnetic moment comes out at 0.0000 μB per atom.

---

[3]
First-principles (PBE-GGA) data for a geometry-optimized KYGaOs2 structure, as listed in Alexandria via LeMat-Bulk.

a = 5.1273 Å, b = 5.1273 Å, c = 5.6522 Å
α = 90.00°, β = 90.00°, γ = 90.00°
With the nearest neighbours (Å) after each atom.
Space group P4/mmm (No. 123)
Unique sites:
K  0.0000  0.0000  0.0000 (multiplicity 1)  4 Ga 3.63, 8 Os 3.82
Y  0.5000  0.5000  0.5000 (multiplicity 1)  4 Os 2.56, 2 Ga 2.83
Ga  0.5000  0.5000  0.0000 (multiplicity 1)  2 Y 2.83
Os  0.0000  0.5000  0.5000 (multiplicity 2)  2 Y 2.56

Properties
As for the crystal system: tetragonal. The calculation puts the electronic total energy at -4.843 eV/atom. For the formation energy from the elements, the calculation gives 1767 meV per atom. The magnetic moment comes out at 0.4246 μB per atom.

---

[4]
First-principles (PBE-GGA) data for a geometry-optimized KZn2GaOs structure, as listed in Alexandria via LeMat-Bulk.

a = 4.9518 Å, b = 4.9518 Å, c = 4.8363 Å
α = 90.00°, β = 90.00°, γ = 90.00°
With the nearest neighbours (Å) after each atom.
Space group P4/mmm (No. 123)
Unique sites:
K  0.0000  0.0000  0.0000 (multiplicity 1)  8 Zn 3.46, 4 Ga 3.50
Zn  0.0000  0.5000  0.5000 (multiplicity 2)  2 Os 2.48
Ga  0.5000  0.5000  0.0000 (multiplicity 1)  2 Os 2.42
Os  0.5000  0.5000  0.5000 (multiplicity 1)  2 Ga 2.42, 4 Zn 2.48

Properties
As for the crystal system: tetragonal. The calculation puts the electronic total energy at -3.519 eV/atom. For the formation energy from the elements, the calculation gives 61 meV per atom. The magnetic moment comes out at 0.0000 μB per atom.

---

> magnetic moment of number 4 (KZn2GaOs)?

0.0000 μB per atom

---

> What is the electronic total energy in the first record?

-2.430 eV/atom

---

> Which value of magnetic moment does entry 3 give?

0.4246 μB per atom

---

What did the fourth record say?
First-principles (PBE-GGA) data for a geometry-optimized KZn2GaOs structure, as listed in Alexandria via LeMat-Bulk.

a = 4.9518 Å, b = 4.9518 Å, c = 4.8363 Å
α = 90.00°, β = 90.00°, γ = 90.00°
With the nearest neighbours (Å) after each atom.
Space group P4/mmm (No. 123)
Unique sites:
K  0.0000  0.0000  0.0000 (multiplicity 1)  8 Zn 3.46, 4 Ga 3.50
Zn  0.0000  0.5000  0.5000 (multiplicity 2)  2 Os 2.48
Ga  0.5000  0.5000  0.0000 (multiplicity 1)  2 Os 2.42
Os  0.5000  0.5000  0.5000 (multiplicity 1)  2 Ga 2.42, 4 Zn 2.48

Properties
As for the crystal system: tetragonal. The calculation puts the electronic total energy at -3.519 eV/atom. For the formation energy from the elements, the calculation gives 61 meV per atom. The magnetic moment comes out at 0.0000 μB per atom.